The following is a PBE-GGA calculation of an optimized crystal structure of Nd5DyTl2, from Alexandria via LeMat-Bulk.

- calculated total energy (eV per atom) = -4.256
- mass density (g cm⁻³) = 8.3
- DFT formation energy (kcal/mol of atoms) = -2.5
- relative energy among the computed polymorphs (eV/atom) = 0.000

Cell: 3.707 11.089 12.534 Å, 90.00 90.00 90.00°
Space group Immm (No. 71)
Symmetry-distinct sites (fractional):
Nd  0.000  0.000  0.000
Nd  0.000  0.279  0.362
Dy  0.000  0.500  0.000
Tl  0.000  0.000  0.277



The following is a PBE-GGA calculation of an optimized crystal structure of PmErGa4, from Alexandria via LeMat-Bulk.

- calculated total energy (eV per atom) = -4.194
- mass density (g cm⁻³) = 7.9
- DFT formation energy (kcal/mol of atoms) = -14.4
- relative energy among the computed polymorphs (eV/atom) = 0.027

Cell: 4.283 7.041 8.292 Å, 90.00 90.00 90.00°
Space group Imm2 (No. 44)
Symmetry-distinct sites (fractional):
Pm  0.000  0.000  0.000
Er  0.000  0.500  0.879
Ga  0.000  0.193  0.604
Ga  0.000  0.299  0.280



The following is a PBE-GGA calculation of an optimized crystal structure of CaLu2Cd, from Alexandria via LeMat-Bulk.

- calculated total energy (eV per atom) = -2.848
- mass density (g cm⁻³) = 6.7
- DFT formation energy (kcal/mol of atoms) = 3.3
- relative energy among the computed polymorphs (eV/atom) = 0.190

Cell: 3.5181 3.5181 34.6338 Å, 90.00 90.00 120.00°
Space group R-3m (No. 166, hexagonal axes)
Symmetry-distinct sites (fractional):
Ca  0.0000  0.0000  0.0000
Lu  0.0000  0.0000  0.0962
Cd  0.0000  0.0000  0.5000



The following is a PBE-GGA calculation of an optimized crystal structure of Ca2YThBi4, from Alexandria via LeMat-Bulk.

- calculated total energy (eV per atom) = -4.927
- mass density (g cm⁻³) = 7.5
- DFT formation energy (kcal/mol of atoms) = -17.3

Cell: 7.909 4.592 7.996 Å, 90.00 109.43 90.00°
Space group P2/m (No. 10)
Symmetry-distinct sites (fractional):
Ca  0.000  0.000  0.000
Ca  0.500  0.500  0.000
Y  0.000  0.500  0.500
Th  0.500  0.000  0.500
Bi  0.244  0.000  0.742
Bi  0.248  0.500  0.255